[1]
## Sr2CaRh2 (GGA-PBE)

Data for a relaxed structure of Sr2CaRh2.

Values from the calculation:
As for the spin magnetization: 0.00 μB/atom. As for the crystal system: tetragonal. The energy relative to the lowest polymorph listed for this composition is 138 meV/atom. For the formation enthalpy at 0 K, the calculation gives -0.127 eV/atom.

```
data_Sr2CaRh2
_chemical_formula_sum 'Sr4 Ca2 Rh4'
_space_group_name_H-M_alt 'P 4/m b m'
_space_group_IT_number 127
_space_group_name_Hall '-P 4 2ab'
_cell_length_a 8.3359
_cell_length_b 8.3359
_cell_length_c 3.8551
_cell_angle_alpha 90.00
_cell_angle_beta 90.00
_cell_angle_gamma 90.00
loop_
_atom_site_label
_atom_site_fract_x
_atom_site_fract_y
_atom_site_fract_z
Sr1 0.1449 0.3551 0.0000
Ca1 0.0000 0.0000 0.5000
Rh1 0.1560 0.6560 0.5000
```


[2]
## Sr2CaRh (GGA-PBE)

Data for a relaxed structure of Sr2CaRh.

Values from the calculation:
As for the spin magnetization: 0.00 μB/atom. As for the crystal system: monoclinic. The energy relative to the lowest polymorph listed for this composition is 84 meV/atom. For the formation enthalpy at 0 K, the calculation gives -0.148 eV/atom.

```
data_Sr2CaRh
_chemical_formula_sum 'Sr2 Ca1 Rh1'
_space_group_name_H-M_alt 'P 1 m 1'
_space_group_IT_number 6
_cell_length_a 6.0948
_cell_length_b 4.2242
_cell_length_c 6.9758
_cell_angle_alpha 90.00
_cell_angle_beta 115.81
_cell_angle_gamma 90.00
loop_
_space_group_symop_operation_xyz
'x,y,z'
'x,-y,z'
loop_
_atom_site_label
_atom_site_fract_x
_atom_site_fract_y
_atom_site_fract_z
Sr1 0.0000 0.0000 0.0000
Sr2 0.3407 0.5000 0.6812
Ca1 0.6983 0.0000 0.3967
Rh1 0.8402 0.5000 0.6802
```


[3]
## Sr2CaRh (GGA-PBE)

Data for a relaxed structure of Sr2CaRh.

Values from the calculation:
As for the spin magnetization: 0.00 μB/atom. As for the crystal system: tetragonal. The energy relative to the lowest polymorph listed for this composition is 370 meV/atom. For the formation enthalpy at 0 K, the calculation gives 0.138 eV/atom.

```
data_Sr2CaRh
_chemical_formula_sum 'Sr4 Ca2 Rh2'
_space_group_name_H-M_alt 'I -4 m 2'
_space_group_IT_number 119
_space_group_name_Hall 'I -4 -2'
_cell_length_a 5.3258
_cell_length_b 5.3258
_cell_length_c 8.5795
_cell_angle_alpha 90.00
_cell_angle_beta 90.00
_cell_angle_gamma 90.00
loop_
_atom_site_label
_atom_site_fract_x
_atom_site_fract_y
_atom_site_fract_z
Sr1 0.0000 0.0000 0.0000
Sr2 0.0000 0.5000 0.2500
Ca1 0.0000 0.5000 0.7500
Rh1 0.0000 0.0000 0.5000
```


[4]
## Sr2CaRh (GGA-PBE)

Data for a relaxed structure of Sr2CaRh.

Values from the calculation:
As for the spin magnetization: 0.00 μB/atom. As for the crystal system: tetragonal. The energy relative to the lowest polymorph listed for this composition is 152 meV/atom. For the formation enthalpy at 0 K, the calculation gives -0.079 eV/atom.

```
data_Sr2CaRh
_chemical_formula_sum 'Sr2 Ca1 Rh1'
_space_group_name_H-M_alt 'P 4/m m m'
_space_group_IT_number 123
_space_group_name_Hall '-P 4 2'
_cell_length_a 3.7401
_cell_length_b 3.7401
_cell_length_c 10.0183
_cell_angle_alpha 90.00
_cell_angle_beta 90.00
_cell_angle_gamma 90.00
loop_
_atom_site_label
_atom_site_fract_x
_atom_site_fract_y
_atom_site_fract_z
Sr1 0.0000 0.0000 0.1728
Ca1 0.5000 0.5000 0.5000
Rh1 0.5000 0.5000 0.0000
```


[5]
## Sr2CaRh (GGA-PBE)

Data for a relaxed structure of Sr2CaRh.

Values from the calculation:
As for the spin magnetization: 0.00 μB/atom. As for the crystal system: cubic. The energy relative to the lowest polymorph listed for this composition is 360 meV/atom. For the formation enthalpy at 0 K, the calculation gives 0.128 eV/atom.

```
data_Sr2CaRh
_chemical_formula_sum 'Sr8 Ca4 Rh4'
_space_group_name_H-M_alt 'F m -3 m'
_space_group_IT_number 225
_space_group_name_Hall '-F 4 2 3'
_cell_length_a 7.9269
_cell_length_b 7.9269
_cell_length_c 7.9269
_cell_angle_alpha 90.00
_cell_angle_beta 90.00
_cell_angle_gamma 90.00
loop_
_atom_site_label
_atom_site_fract_x
_atom_site_fract_y
_atom_site_fract_z
Sr1 0.2500 0.2500 0.2500
Ca1 0.0000 0.0000 0.0000
Rh1 0.0000 0.0000 0.5000
```


[6]
## Sr4CaRh (GGA-PBE)

Data for a relaxed structure of Sr4CaRh.

Values from the calculation:
As for the spin magnetization: 0.09 μB/atom. As for the crystal system: cubic. The energy relative to the lowest polymorph listed for this composition is 611 meV/atom. For the formation enthalpy at 0 K, the calculation gives 0.688 eV/atom.

```
data_Sr4CaRh
_chemical_formula_sum 'Sr16 Ca4 Rh4'
_space_group_name_H-M_alt 'F -4 3 m'
_space_group_IT_number 216
_space_group_name_Hall 'F -4 2 3'
_cell_length_a 10.0869
_cell_length_b 10.0869
_cell_length_c 10.0869
_cell_angle_alpha 90.00
_cell_angle_beta 90.00
_cell_angle_gamma 90.00
loop_
_atom_site_label
_atom_site_fract_x
_atom_site_fract_y
_atom_site_fract_z
Sr1 0.1240 0.1240 0.3760
Ca1 0.0000 0.0000 0.0000
Rh1 0.2500 0.2500 0.7500
```


[7]
## Sr2CaRh (GGA-PBE)

Data for a relaxed structure of Sr2CaRh.

Values from the calculation:
As for the spin magnetization: 0.00 μB/atom. As for the crystal system: trigonal. The energy relative to the lowest polymorph listed for this composition is 212 meV/atom. For the formation enthalpy at 0 K, the calculation gives -0.020 eV/atom.

```
data_Sr2CaRh
_chemical_formula_sum 'Sr6 Ca3 Rh3'
_space_group_name_H-M_alt 'R -3 m'
_space_group_IT_number 166
_space_group_name_Hall '-R 3 2"'
_cell_length_a 4.2414
_cell_length_b 4.2414
_cell_length_c 30.6056
_cell_angle_alpha 90.00
_cell_angle_beta 90.00
_cell_angle_gamma 120.00
loop_
_atom_site_label
_atom_site_fract_x
_atom_site_fract_y
_atom_site_fract_z
Sr1 0.0000 0.0000 0.2196
Ca1 0.0000 0.0000 0.0000
Rh1 0.0000 0.0000 0.5000
```


[8]
## SrCaRh (GGA-PBE)

Data for a relaxed structure of SrCaRh.

Values from the calculation:
As for the spin magnetization: 0.00 μB/atom. As for the crystal system: cubic. The energy relative to the lowest polymorph listed for this composition is 96 meV/atom. For the formation enthalpy at 0 K, the calculation gives -0.181 eV/atom.

```
data_SrCaRh
_chemical_formula_sum 'Sr4 Ca4 Rh4'
_space_group_name_H-M_alt 'F -4 3 m'
_space_group_IT_number 216
_space_group_name_Hall 'F -4 2 3'
_cell_length_a 7.1395
_cell_length_b 7.1395
_cell_length_c 7.1395
_cell_angle_alpha 90.00
_cell_angle_beta 90.00
_cell_angle_gamma 90.00
loop_
_atom_site_label
_atom_site_fract_x
_atom_site_fract_y
_atom_site_fract_z
Sr1 0.0000 0.0000 0.0000
Ca1 0.0000 0.0000 0.5000
Rh1 0.2500 0.2500 0.2500
```


[9]
## Sr2CaRh (GGA-PBE)

Data for a relaxed structure of Sr2CaRh.

Values from the calculation:
As for the spin magnetization: 0.00 μB/atom. As for the crystal system: monoclinic. The energy relative to the lowest polymorph listed for this composition is 0 meV/atom. For the formation enthalpy at 0 K, the calculation gives -0.232 eV/atom.

```
data_Sr2CaRh
_chemical_formula_sum 'Sr4 Ca2 Rh2'
_space_group_name_H-M_alt 'P 1 21/m 1'
_space_group_IT_number 11
_cell_length_a 4.1613
_cell_length_b 10.0117
_cell_length_c 7.0315
_cell_angle_alpha 90.00
_cell_angle_beta 107.09
_cell_angle_gamma 90.00
loop_
_space_group_symop_operation_xyz
'x,y,z'
'-x,-y,-z'
'-x,y+1/2,-z'
'x,-y+1/2,z'
loop_
_atom_site_label
_atom_site_fract_x
_atom_site_fract_y
_atom_site_fract_z
Sr1 0.1471 0.0698 0.2930
Ca1 0.4052 0.2500 0.8117
Rh1 0.2388 0.7500 0.4773
```


[10]
## Sr3Ca2Rh2 (GGA-PBE)

Data for a relaxed structure of Sr3Ca2Rh2.

Values from the calculation:
As for the spin magnetization: 0.00 μB/atom. As for the crystal system: monoclinic. For the formation enthalpy at 0 K, the calculation gives -0.241 eV/atom.

```
data_Sr3Ca2Rh2
_chemical_formula_sum 'Sr6 Ca4 Rh4'
_space_group_name_H-M_alt 'C 1 2/m 1'
_space_group_IT_number 12
_cell_length_a 13.2937
_cell_length_b 4.1491
_cell_length_c 8.8035
_cell_angle_alpha 90.00
_cell_angle_beta 110.55
_cell_angle_gamma 90.00
loop_
_space_group_symop_operation_xyz
'x,y,z'
'-x,-y,-z'
'-x,y,-z'
'x,-y,z'
'x+1/2,y+1/2,z'
'-x+1/2,-y+1/2,-z'
'-x+1/2,y+1/2,-z'
'x+1/2,-y+1/2,z'
loop_
_atom_site_label
_atom_site_fract_x
_atom_site_fract_y
_atom_site_fract_z
Sr1 0.0000 0.0000 0.0000
Sr2 0.1274 0.0000 0.4334
Ca1 0.1830 0.5000 0.8314
Rh1 0.1814 0.5000 0.2082
```


Q: What is the formula in the tenth record?
A: Sr3Ca2Rh2